# Hg2Au

Hg2Au after structural relaxation (GGA-PBEsol, the Alexandria database).

Properties
formation energy	0.107	eV per atom
space group	P-3m1 (164)

Cell: 4.112 4.112 4.667 Å, 90.00 90.00 120.00°
Atoms (fractional coordinates):
Au1 0.000 0.000 0.000
Hg1 0.333 0.667 0.315
Hg2 0.667 0.333 0.685

---

# HgAu3

HgAu3 after structural relaxation (GGA-PBEsol, the Alexandria database).

Properties
formation energy	0.039	eV per atom
space group	Pmmm (47)

Cell: 2.993 4.095 5.810 Å, 90.00 90.00 90.00°
Atoms (fractional coordinates):
Au1 0.000 0.000 0.256
Au2 0.500 0.500 0.500
Au3 0.000 0.000 0.744
Hg1 0.500 0.500 0.000

---

# HgAu2

HgAu2 after structural relaxation (GGA-PBEsol, the Alexandria database).

Properties
formation energy	0.035	eV per atom
space group	C2/m (12)

Cell: 3.002 5.607 7.464 Å, 113.21 90.00 105.53°
Atoms (fractional coordinates):
Hg1 0.842 0.683 0.863
Hg2 0.158 0.317 0.137
Au1 0.146 0.293 0.530
Au2 0.445 0.891 0.222
Au3 0.555 0.109 0.778
Au4 0.854 0.707 0.470

---

# HgAu3

HgAu3 after structural relaxation (GGA-PBEsol, the Alexandria database).

Properties
formation energy	0.055	eV per atom
space group	R-3m (166)

Cell: 2.985 2.985 9.459 Å, 80.92 80.92 60.00°
Atoms (fractional coordinates):
Hg1 0.000 0.000 0.000
Au1 0.500 0.500 0.500
Au2 0.753 0.753 0.742
Au3 0.247 0.247 0.258